1.
DFT (PBE-GGA) results for crystalline Dy2Ho4Al at its relaxed geometry.

```
data_Dy2Ho4Al
_chemical_formula_sum 'Dy6 Ho12 Al3'
_space_group_name_H-M_alt 'R -3 m'
_space_group_IT_number 166
_space_group_name_Hall '-R 3 2"'
_cell_length_a 3.5895
_cell_length_b 3.5895
_cell_length_c 56.2880
_cell_angle_alpha 90.00
_cell_angle_beta 90.00
_cell_angle_gamma 120.00
loop_
_atom_site_label
_atom_site_type_symbol
_atom_site_fract_x
_atom_site_fract_y
_atom_site_fract_z
Dy1 Dy 0.0000 0.0000 0.1919
Ho1 Ho 0.0000 0.0000 0.0912
Ho2 Ho 0.0000 0.0000 0.2935
Al1 Al 0.0000 0.0000 0.0000
```

Calculated values
* calculated volume: 29.9 A^3/atom
* E: -4.5053 eV/atom
* ρ: 8.025 g cm⁻³
* magnetization: 1.25 μB per formula unit
* ΔH_f (0 K): -0.0399 eV per atom

***

2.
DFT (PBE-GGA) results for crystalline Dy5HoAl3 at its relaxed geometry.

```
data_Dy5HoAl3
_chemical_formula_sum 'Dy10 Ho2 Al6'
_space_group_name_H-M_alt 'P 63/m c m'
_space_group_IT_number 193
_space_group_name_Hall '-P 6c 2'
_cell_length_a 9.0643
_cell_length_b 9.0643
_cell_length_c 6.6276
_cell_angle_alpha 90.00
_cell_angle_beta 90.00
_cell_angle_gamma 120.00
loop_
_atom_site_label
_atom_site_type_symbol
_atom_site_fract_x
_atom_site_fract_y
_atom_site_fract_z
Dy1 Dy 0.0000 0.3336 0.2500
Dy2 Dy 0.3333 0.6667 0.0000
Ho1 Ho 0.0000 0.0000 0.0000
Al1 Al 0.0000 0.3324 0.7500
```

Calculated values
* calculated volume: 26.2 A^3/atom
* E: -4.5834 eV/atom
* ρ: 7.454 g cm⁻³
* magnetization: 0.00 μB per formula unit
* ΔH_f (0 K): -0.2705 eV per atom